# 1
6
Lattice="0.000 3.865 3.865 3.865 0.000 3.865 3.865 3.865 0.000" Properties=species:S:1:pos:R:3 comment="MgCd4Rh | the Alexandria database | meta-GGA SCAN | single point on PBEsol structure" spacegroup="F-43m (216)" rho_g_cm3=8.298 magnetic_moment_mub_per_atom=0.000 delta_e_f_ev_per_atom=0.078 pbc="T T T"
Mg 0.000 0.000 0.000
Cd 4.827 2.902 2.902
Cd 2.902 4.827 2.902
Cd 2.902 2.902 4.827
Cd 4.827 4.827 4.827
Rh 1.932 1.932 1.932

***

# 2
3
Lattice="4.411 0.000 0.000 -2.206 3.820 0.000 0.000 0.000 2.947" Properties=species:S:1:pos:R:3 comment="MgCdRh | the Alexandria database | meta-GGA SCAN | single point on PBEsol structure" spacegroup="P3m1 (156)" rho_g_cm3=8.013 magnetic_moment_mub_per_atom=0.000 delta_e_f_ev_per_atom=-0.255 pbc="T T T"
Mg 0.000 0.000 0.000
Cd 0.000 2.547 1.941
Rh 2.206 1.273 0.807

***

# 3
3
Lattice="-1.392 2.087 4.283 1.392 -2.087 4.283 1.392 2.087 -4.283" Properties=species:S:1:pos:R:3 comment="MgCdRu | the Alexandria database | meta-GGA SCAN | single point on PBEsol structure" spacegroup="Imm2 (44)" rho_g_cm3=7.934 magnetic_moment_mub_per_atom=0.000 delta_e_f_ev_per_atom=0.137 e_above_lowest_polymorph_ev_per_fu=0.00 pbc="T T T"
Mg 0.000 0.000 0.000
Cd 0.000 0.000 2.767
Ru 0.000 0.000 5.632

***

# 4
4
Lattice="2.918 0.000 0.000 0.000 4.155 0.000 0.000 0.000 5.750" Properties=species:S:1:pos:R:3 comment="Mg2CdRu | the Alexandria database | meta-GGA SCAN | single point on PBEsol structure" spacegroup="Pmm2 (25)" rho_g_cm3=6.242 magnetic_moment_mub_per_atom=0.196 delta_e_f_ev_per_atom=0.046 pbc="T T T"
Mg 0.000 0.000 0.000
Mg 1.459 2.078 1.629
Cd 1.459 2.078 4.284
Ru 0.000 0.000 2.817

***

# 5
4
Lattice="-1.922 1.922 4.233 1.922 -1.922 4.233 1.922 1.922 -4.233" Properties=species:S:1:pos:R:3 comment="MgCdRu2 | the Alexandria database | meta-GGA SCAN | single point on PBEsol structure" spacegroup="I4/mmm (139)" rho_g_cm3=8.999 magnetic_moment_mub_per_atom=0.682 delta_e_f_ev_per_atom=0.270 pbc="T T T"
Mg 0.000 0.000 0.000
Cd 0.000 0.000 4.233
Ru 1.922 0.000 2.117
Ru 0.000 1.922 2.117

***

# 6
4
Lattice="-1.976 1.976 4.343 1.976 -1.976 4.343 1.976 1.976 -4.343" Properties=species:S:1:pos:R:3 comment="Mg2CdRu | the Alexandria database | meta-GGA SCAN | single point on PBEsol structure" spacegroup="I-4m2 (119)" rho_g_cm3=6.420 magnetic_moment_mub_per_atom=0.095 delta_e_f_ev_per_atom=-0.053 pbc="T T T"
Mg 0.000 0.000 0.000
Mg 0.000 1.976 2.171
Cd 1.976 0.000 2.171
Ru 0.000 0.000 4.343

***

# 7
3
Lattice="0.000 3.038 3.038 3.038 0.000 3.038 3.038 3.038 0.000" Properties=species:S:1:pos:R:3 comment="MgCdRu | the Alexandria database | meta-GGA SCAN | single point on PBEsol structure" spacegroup="F-43m (216)" rho_g_cm3=7.038 magnetic_moment_mub_per_atom=0.000 delta_e_f_ev_per_atom=0.669 e_above_lowest_polymorph_ev_per_fu=1.60 pbc="T T T"
Mg 0.000 0.000 0.000
Cd 1.519 1.519 1.519
Ru 4.558 4.558 4.558

***

# 8
4
Lattice="-2.230 2.230 3.092 2.230 -2.230 3.092 2.230 2.230 -3.092" Properties=species:S:1:pos:R:3 comment="MgCdRu2 | the Alexandria database | meta-GGA SCAN | single point on PBEsol structure" spacegroup="I-4m2 (119)" rho_g_cm3=9.149 magnetic_moment_mub_per_atom=0.000 delta_e_f_ev_per_atom=0.222 pbc="T T T"
Mg 0.000 0.000 0.000
Cd 2.230 0.000 1.546
Ru 0.000 0.000 3.092
Ru 0.000 2.230 1.546

***

# 9
4
Lattice="1.501 -2.287 0.000 1.501 2.287 0.000 0.000 0.000 9.046" Properties=species:S:1:pos:R:3 comment="MgCdRu2 | the Alexandria database | meta-GGA SCAN | single point on PBEsol structure" spacegroup="Cmmm (65)" rho_g_cm3=9.059 magnetic_moment_mub_per_atom=0.418 delta_e_f_ev_per_atom=0.299 pbc="T T T"
Mg 0.000 0.000 0.000
Cd 0.000 0.000 4.523
Ru 1.501 0.000 2.194
Ru 1.501 0.000 6.852

***

# 10
5
Lattice="4.445 0.000 0.000 0.000 4.445 0.000 0.000 0.000 4.445" Properties=species:S:1:pos:R:3 comment="MgCdRu3 | the Alexandria database | meta-GGA SCAN | single point on PBEsol structure" spacegroup="Pm-3m (221)" rho_g_cm3=8.317 magnetic_moment_mub_per_atom=0.565 delta_e_f_ev_per_atom=1.619 pbc="T T T"
Mg 0.000 0.000 0.000
Cd 2.223 2.223 2.223
Ru 0.000 0.000 2.223
Ru 0.000 2.223 0.000
Ru 2.223 0.000 0.000

***

# 11
4
Lattice="1.480 0.854 9.548 -1.480 0.854 9.548 0.000 -1.709 9.548" Properties=species:S:1:pos:R:3 comment="MgCd2Ru | the Alexandria database | meta-GGA SCAN | single point on PBEsol structure" spacegroup="R-3m (166)" rho_g_cm3=8.028 magnetic_moment_mub_per_atom=0.309 delta_e_f_ev_per_atom=0.238 pbc="T T T"
Mg 0.000 0.000 0.000
Cd 0.000 0.000 7.001
Cd 0.000 0.000 21.645
Ru 0.000 0.000 14.323

***

# 12
5
Lattice="4.936 0.000 0.000 0.000 4.936 0.000 0.000 0.000 4.936" Properties=species:S:1:pos:R:3 comment="MgCd3Ru | the Alexandria database | meta-GGA SCAN | single point on PBEsol structure" spacegroup="Pm-3m (221)" rho_g_cm3=6.389 magnetic_moment_mub_per_atom=0.499 delta_e_f_ev_per_atom=1.241 pbc="T T T"
Mg 0.000 0.000 0.000
Cd 0.000 0.000 2.468
Cd 0.000 2.468 0.000
Cd 2.468 0.000 0.000
Ru 2.468 2.468 2.468